[1]
# YThZnTc (GGA-PBE, optimized geometry)
data_YThZnTc
_chemical_formula_sum 'Y1 Th1 Zn1 Tc1'
_space_group_name_H-M_alt 'P 1'
_space_group_IT_number 1
_cell_length_a 5.039
_cell_length_b 5.039
_cell_length_c 5.039
_cell_angle_alpha 60.00
_cell_angle_beta 60.00
_cell_angle_gamma 60.00
loop_
_space_group_symop_operation_xyz
'x,y,z'
loop_
_atom_site_label
_atom_site_type_symbol
_atom_site_fract_x
_atom_site_fract_y
_atom_site_fract_z
_atom_site_occupancy
Y1 Y 0.000 0.000 0.000 1
Th1 Th 0.500 0.500 0.500 1
Zn1 Zn 0.750 0.750 0.750 1
Tc1 Tc 0.250 0.250 0.250 1
# formation enthalpy at 0 K	-132.8	meV/atom
# uncorrected energy	-6.51	eV/atom
# volume	22.62	A^3/atom
# D(E_F)	5.529	states/eV/f.u.
# SG	No. 216

***

[2]
# ZnReSe2 (GGA-PBE, optimized geometry)
data_ZnReSe2
_chemical_formula_sum 'Zn2 Re2 Se4'
_space_group_name_H-M_alt 'P 1'
_space_group_IT_number 1
_cell_length_a 6.831
_cell_length_b 6.831
_cell_length_c 6.831
_cell_angle_alpha 129.94
_cell_angle_beta 129.94
_cell_angle_gamma 73.50
loop_
_space_group_symop_operation_xyz
'x,y,z'
loop_
_atom_site_label
_atom_site_type_symbol
_atom_site_fract_x
_atom_site_fract_y
_atom_site_fract_z
_atom_site_occupancy
Zn1 Zn 0.000 0.000 0.000 1
Zn2 Zn 0.750 0.250 0.500 1
Re1 Re 0.250 0.750 0.500 1
Re2 Re 0.500 0.500 0.000 1
Se1 Se 0.138 0.625 0.013 1
Se2 Se 0.375 0.388 0.513 1
Se3 Se 0.612 0.125 0.987 1
Se4 Se 0.875 0.862 0.487 1
# uncorrected energy	-4.92	eV/atom
# volume	22.86	A^3/atom
# D(E_F)	3.123	states/eV/f.u.
# relative energy among the computed polymorphs	180	meV/atom
# SG	No. 122

***

[3]
# Fe4Co (GGA-PBE, optimized geometry)
data_Fe4Co
_chemical_formula_sum 'Fe4 Co1'
_space_group_name_H-M_alt 'P 1'
_space_group_IT_number 1
_cell_length_a 10.313
_cell_length_b 10.212
_cell_length_c 2.462
_cell_angle_alpha 85.45
_cell_angle_beta 80.78
_cell_angle_gamma 13.77
loop_
_space_group_symop_operation_xyz
'x,y,z'
loop_
_atom_site_label
_atom_site_type_symbol
_atom_site_fract_x
_atom_site_fract_y
_atom_site_fract_z
_atom_site_occupancy
Fe1 Fe 0.099 0.099 0.901 1
Fe2 Fe 0.300 0.300 0.700 1
Fe3 Fe 0.700 0.700 0.300 1
Fe4 Fe 0.901 0.901 0.099 1
Co1 Co 0.500 0.500 0.500 1
# formation enthalpy at 0 K	-13.7	meV/atom
# uncorrected energy	-8.21	eV/atom
# volume	11.52	A^3/atom
# D(E_F)	3.945	states/eV/f.u.
# relative energy among the computed polymorphs	21	meV/atom
# SG	No. 69

***

[4]
# Pm4PrMg (GGA-PBE, optimized geometry)
data_Pm4PrMg
_chemical_formula_sum 'Pm4 Pr1 Mg1'
_space_group_name_H-M_alt 'P 1'
_space_group_IT_number 1
_cell_length_a 3.681
_cell_length_b 3.681
_cell_length_c 14.598
_cell_angle_alpha 90.00
_cell_angle_beta 90.00
_cell_angle_gamma 90.00
loop_
_space_group_symop_operation_xyz
'x,y,z'
loop_
_atom_site_label
_atom_site_type_symbol
_atom_site_fract_x
_atom_site_fract_y
_atom_site_fract_z
_atom_site_occupancy
Pm1 Pm 0.000 0.000 0.148 1
Pm2 Pm 0.000 0.000 0.852 1
Pm3 Pm 0.500 0.500 0.321 1
Pm4 Pm 0.500 0.500 0.679 1
Pr1 Pr 0.000 0.000 0.500 1
Mg1 Mg 0.500 0.500 0.000 1
# formation enthalpy at 0 K	-23.0	meV/atom
# uncorrected energy	-4.25	eV/atom
# volume	32.97	A^3/atom
# D(E_F)	7.429	states/eV/f.u.
# relative energy among the computed polymorphs	0	meV/atom
# SG	No. 123

***

[5]
# HoTlBr4 (GGA-PBE, optimized geometry)
data_HoTlBr4
_chemical_formula_sum 'Ho1 Tl1 Br4'
_space_group_name_H-M_alt 'P 1'
_space_group_IT_number 1
_cell_length_a 4.250
_cell_length_b 7.146
_cell_length_c 8.412
_cell_angle_alpha 102.34
_cell_angle_beta 90.00
_cell_angle_gamma 107.24
loop_
_space_group_symop_operation_xyz
'x,y,z'
loop_
_atom_site_label
_atom_site_type_symbol
_atom_site_fract_x
_atom_site_fract_y
_atom_site_fract_z
_atom_site_occupancy
Ho1 Ho 0.000 0.000 0.000 1
Tl1 Tl 0.500 0.000 0.500 1
Br1 Br 0.120 0.240 0.309 1
Br2 Br 0.384 0.767 0.091 1
Br3 Br 0.616 0.233 0.909 1
Br4 Br 0.880 0.760 0.691 1
# uncorrected energy	-3.80	eV/atom
# volume	39.64	A^3/atom
# D(E_F)	0.000	states/eV/f.u.
# SG	No. 2

***

[6]
# CsSrBr3 (GGA-PBE, optimized geometry)
data_CsSrBr3
_chemical_formula_sum 'Cs2 Sr2 Br6'
_space_group_name_H-M_alt 'P 1'
_space_group_IT_number 1
_cell_length_a 10.672
_cell_length_b 10.672
_cell_length_c 7.670
_cell_angle_alpha 90.00
_cell_angle_beta 90.00
_cell_angle_gamma 142.53
loop_
_space_group_symop_operation_xyz
'x,y,z'
loop_
_atom_site_label
_atom_site_type_symbol
_atom_site_fract_x
_atom_site_fract_y
_atom_site_fract_z
_atom_site_occupancy
Cs1 Cs 0.165 0.835 0.750 1
Cs2 Cs 0.835 0.165 0.250 1
Sr1 Sr 0.420 0.580 0.750 1
Sr2 Sr 0.580 0.420 0.250 1
Br1 Br 0.000 0.000 0.000 1
Br2 Br 0.000 0.000 0.500 1
Br3 Br 0.055 0.422 0.750 1
Br4 Br 0.422 0.055 0.250 1
Br5 Br 0.578 0.945 0.750 1
Br6 Br 0.945 0.578 0.250 1
# uncorrected energy	-2.96	eV/atom
# volume	53.15	A^3/atom
# D(E_F)	0.000	states/eV/f.u.
# SG	No. 63

***

[7]
# PmLuThZn (GGA-PBE, optimized geometry)
data_PmLuThZn
_chemical_formula_sum 'Pm1 Lu1 Th1 Zn1'
_space_group_name_H-M_alt 'P 1'
_space_group_IT_number 1
_cell_length_a 5.381
_cell_length_b 5.381
_cell_length_c 5.381
_cell_angle_alpha 60.00
_cell_angle_beta 60.00
_cell_angle_gamma 60.00
loop_
_space_group_symop_operation_xyz
'x,y,z'
loop_
_atom_site_label
_atom_site_type_symbol
_atom_site_fract_x
_atom_site_fract_y
_atom_site_fract_z
_atom_site_occupancy
Pm1 Pm 0.000 0.000 0.000 1
Lu1 Lu 0.750 0.750 0.750 1
Th1 Th 0.500 0.500 0.500 1
Zn1 Zn 0.250 0.250 0.250 1
# formation enthalpy at 0 K	65.9	meV/atom
# uncorrected energy	-4.43	eV/atom
# volume	27.54	A^3/atom
# D(E_F)	6.993	states/eV/f.u.
# SG	No. 216

***

[8]
# TiMnNbMo2 (GGA-PBE, optimized geometry)
data_TiMnNbMo2
_chemical_formula_sum 'Ti1 Mn1 Nb1 Mo2'
_space_group_name_H-M_alt 'P 1'
_space_group_IT_number 1
_cell_length_a 4.629
_cell_length_b 4.629
_cell_length_c 4.125
_cell_angle_alpha 90.00
_cell_angle_beta 90.00
_cell_angle_gamma 90.00
loop_
_space_group_symop_operation_xyz
'x,y,z'
loop_
_atom_site_label
_atom_site_type_symbol
_atom_site_fract_x
_atom_site_fract_y
_atom_site_fract_z
_atom_site_occupancy
Ti1 Ti 0.000 0.000 0.000 1
Mn1 Mn 0.000 0.000 0.500 1
Nb1 Nb 0.500 0.500 0.500 1
Mo1 Mo 0.000 0.500 0.000 1
Mo2 Mo 0.500 0.000 0.000 1
# formation enthalpy at 0 K	1188.6	meV/atom
# uncorrected energy	-8.57	eV/atom
# volume	17.67	A^3/atom
# D(E_F)	5.525	states/eV/f.u.
# SG	No. 123

***

[9]
# Zr3HgC (GGA-PBE, optimized geometry)
data_Zr3HgC
_chemical_formula_sum 'Zr3 Hg1 C1'
_space_group_name_H-M_alt 'P 1'
_space_group_IT_number 1
_cell_length_a 3.178
_cell_length_b 7.910
_cell_length_c 7.910
_cell_angle_alpha 48.67
_cell_angle_beta 90.00
_cell_angle_gamma 90.00
loop_
_space_group_symop_operation_xyz
'x,y,z'
loop_
_atom_site_label
_atom_site_type_symbol
_atom_site_fract_x
_atom_site_fract_y
_atom_site_fract_z
_atom_site_occupancy
Zr1 Zr 0.000 0.000 0.000 1
Zr2 Zr 0.500 0.083 0.616 1
Zr3 Zr 0.500 0.616 0.083 1
Hg1 Hg 0.500 0.178 0.178 1
C1 C 0.000 0.837 0.837 1
# formation enthalpy at 0 K	360.8	meV/atom
# uncorrected energy	-6.67	eV/atom
# volume	29.86	A^3/atom
# D(E_F)	5.122	states/eV/f.u.
# relative energy among the computed polymorphs	865	meV/atom
# SG	No. 38

***

[10]
# GaBiTe (GGA-PBE, optimized geometry)
data_GaBiTe
_chemical_formula_sum 'Ga2 Bi2 Te2'
_space_group_name_H-M_alt 'P 1'
_space_group_IT_number 1
_cell_length_a 4.222
_cell_length_b 7.000
_cell_length_c 8.612
_cell_angle_alpha 113.90
_cell_angle_beta 103.95
_cell_angle_gamma 90.02
loop_
_space_group_symop_operation_xyz
'x,y,z'
loop_
_atom_site_label
_atom_site_type_symbol
_atom_site_fract_x
_atom_site_fract_y
_atom_site_fract_z
_atom_site_occupancy
Ga1 Ga 0.000 0.000 0.000 1
Ga2 Ga 0.491 0.537 0.981 1
Bi1 Bi 0.175 0.100 0.357 1
Bi2 Bi 0.668 0.784 0.342 1
Te1 Te 0.427 0.112 0.851 1
Te2 Te 0.898 0.583 0.793 1
# uncorrected energy	-3.55	eV/atom
# volume	37.41	A^3/atom
# relative energy among the computed polymorphs	1	meV/atom
# SG	No. 1

***

[11]
# PrAlCd (GGA-PBE, optimized geometry)
data_PrAlCd
_chemical_formula_sum 'Pr1 Al1 Cd1'
_space_group_name_H-M_alt 'P 1'
_space_group_IT_number 1
_cell_length_a 6.565
_cell_length_b 6.565
_cell_length_c 6.565
_cell_angle_alpha 149.25
_cell_angle_beta 149.25
_cell_angle_gamma 44.05
loop_
_space_group_symop_operation_xyz
'x,y,z'
loop_
_atom_site_label
_atom_site_type_symbol
_atom_site_fract_x
_atom_site_fract_y
_atom_site_fract_z
_atom_site_occupancy
Pr1 Pr 0.000 0.000 0.000 1
Al1 Al 0.327 0.327 0.000 1
Cd1 Cd 0.696 0.696 0.000 1
# formation enthalpy at 0 K	-198.5	meV/atom
# uncorrected energy	-3.34	eV/atom
# volume	24.59	A^3/atom
# D(E_F)	1.745	states/eV/f.u.
# SG	No. 107

***

[12]
# K2AcTmS4 (GGA-PBE, optimized geometry)
data_K2AcTmS4
_chemical_formula_sum 'K2 Ac1 Tm1 S4'
_space_group_name_H-M_alt 'P 1'
_space_group_IT_number 1
_cell_length_a 7.318
_cell_length_b 4.215
_cell_length_c 7.791
_cell_angle_alpha 90.00
_cell_angle_beta 108.14
_cell_angle_gamma 90.00
loop_
_space_group_symop_operation_xyz
'x,y,z'
loop_
_atom_site_label
_atom_site_type_symbol
_atom_site_fract_x
_atom_site_fract_y
_atom_site_fract_z
_atom_site_occupancy
K1 K 0.000 0.000 0.000 1
K2 K 0.500 0.500 0.000 1
Ac1 Ac 0.000 0.500 0.500 1
Tm1 Tm 0.500 0.000 0.500 1
S1 S 0.259 0.000 0.710 1
S2 S 0.284 0.500 0.299 1
S3 S 0.716 0.500 0.701 1
S4 S 0.741 0.000 0.290 1
# uncorrected energy	-5.27	eV/atom
# volume	28.55	A^3/atom
# D(E_F)	0.000	states/eV/f.u.
# SG	No. 10